DFT (PBE) results for crystalline Pd2BrCl3 at its relaxed geometry.

Cell: 13.043 7.530 6.366 Å, 90.00 90.98 90.00°
Space group C2/m (No. 12)
Inequivalent atoms, fractional coordinates:
Pd1 0.000 0.000 0.000 x2
Pd2 0.000 0.500 0.000 x2
Pd3 0.250 0.250 0.000 x4
Br1 0.165 0.000 0.757 x4
Cl1 0.085 0.249 0.210 x8
Cl2 0.165 0.500 0.790 x4

Results
VASP energy: -76.9 eV for the cell shown

***

DFT (PBE) results for crystalline LiPrDyTm at its relaxed geometry.

Cell: 7.810 7.810 7.810 Å, 90.00 90.00 90.00°
Space group F-43m (No. 216)
Inequivalent atoms, fractional coordinates:
Li1 0.000 0.000 0.000 x4
Pr1 0.250 0.250 0.250 x4
Dy1 0.250 0.250 0.750 x4
Tm1 0.000 0.000 0.500 x4

Results
VASP energy: -60.5 eV for the cell shown

***

DFT (PBE) results for crystalline Ac4Sn3I2 at its relaxed geometry.

Cell: 16.199 13.215 6.668 Å, 90.00 90.50 90.00°
Space group C2/c (No. 15)
Inequivalent atoms, fractional coordinates:
Ac1 0.091 0.131 0.497 x8
Ac2 0.160 0.376 0.997 x8
Sn1 0.000 0.477 0.250 x4
Sn2 0.122 0.126 0.996 x8
I1 0.199 0.370 0.499 x8

Results
VASP energy: -154.0 eV for the cell shown

***

Number 3 is which compound?
Ac4Sn3I2